Entry from Alexandria via LeMat-Bulk: a relaxed structure of Zn2AgAu (PBEsol).

Summary:
The density of states at the Fermi level comes out at 1.1 states/eV per cell. Its formation energy is -0.13 eV/atom. The value obtained for the energy relative to the lowest polymorph listed for this composition is 36.2 meV per atom.

Unit cell a=2.807 b=4.250 c=5.315 alpha=90.00 beta=106.24 gamma=90.00
Fractional coordinates of all 4 atoms:
Zn1 0.802 0.000 0.981
Zn2 0.947 0.500 0.269
Au1 0.204 0.500 0.791
Ag1 0.547 0.000 0.458


Entry from Alexandria via LeMat-Bulk: a relaxed structure of Zn2ReSe (PBEsol).

Summary:
The density of states at the Fermi level comes out at 1.4 states/eV per cell. The value obtained for the energy relative to the lowest polymorph listed for this composition is 0.0 meV per atom.

Unit cell a=2.759 b=2.759 c=9.774 alpha=81.89 beta=81.89 gamma=60.00
Fractional coordinates of all 4 atoms:
Re1 0.500 0.500 0.500
Se1 0.000 0.000 0.000
Zn1 0.242 0.242 0.275
Zn2 0.758 0.758 0.725


Entry from Alexandria via LeMat-Bulk: a relaxed structure of YScAu2 (PBEsol).

Summary:
The density of states at the Fermi level comes out at 4.0 states/eV per cell. Its formation energy is -0.27 eV/atom. The value obtained for the energy relative to the lowest polymorph listed for this composition is 567.3 meV per atom.

Unit cell a=3.509 b=3.509 c=8.921 alpha=78.66 beta=78.66 gamma=60.00
Each line ends with the local moment (μB).
Fractional coordinates of all 4 atoms:
Au1 0.006 0.006 0.983  0.02
Au2 0.749 0.749 0.753  0.02
Sc1 0.486 0.486 0.543  0.26
Y1 0.260 0.260 0.220  0.28


Entry from Alexandria via LeMat-Bulk: a relaxed structure of AlTl2GaB (PBEsol).

Summary:
The density of states at the Fermi level comes out at 2.8 states/eV per cell. Its formation energy is 0.77 eV/atom. The value obtained for the energy relative to the lowest polymorph listed for this composition is 218.5 meV per atom.

Unit cell a=3.976 b=5.470 c=5.470 alpha=90.00 beta=90.00 gamma=90.00
Fractional coordinates of all 5 atoms:
Tl1 0.000 0.000 0.500
Tl2 0.000 0.500 0.000
B1 0.500 0.000 0.000
Al1 0.000 0.000 0.000
Ga1 0.500 0.500 0.500


Entry from Alexandria via LeMat-Bulk: a relaxed structure of Co2PRuPb (PBEsol).

Summary:
The density of states at the Fermi level comes out at 6.0 states/eV per cell. Its formation energy is 0.28 eV/atom.

Unit cell a=4.148 b=4.148 c=4.416 alpha=90.00 beta=90.00 gamma=90.00
Each line ends with the local moment (μB).
Fractional coordinates of all 5 atoms:
Pb1 0.500 0.500 0.500  0.05
Ru1 0.000 0.000 0.500  0.30
Co1 0.000 0.500 0.000  0.88
Co2 0.500 0.000 0.000  0.88
P1 0.000 0.000 0.000  0.00


Entry from Alexandria via LeMat-Bulk: a relaxed structure of BaCaIN2 (PBEsol).

Summary:
The density of states at the Fermi level comes out at 4.7 states/eV per cell. The value obtained for the energy relative to the lowest polymorph listed for this composition is 0.0 meV per atom.

Unit cell a=4.750 b=4.750 c=5.738 alpha=90.00 beta=90.00 gamma=90.00
Each line ends with the local moment (μB).
Fractional coordinates of all 5 atoms:
I1 0.000 0.000 0.500  0.05
Ca1 0.000 0.000 0.000  0.02
Ba1 0.500 0.500 0.500  -0.03
N1 0.000 0.500 0.000  0.99
N2 0.500 0.000 0.000  0.99


Entry from Alexandria via LeMat-Bulk: a relaxed structure of KSrFe2 (PBEsol).

Summary:
The density of states at the Fermi level comes out at 7.2 states/eV per cell. Its formation energy is 1.27 eV/atom. The value obtained for the energy relative to the lowest polymorph listed for this composition is 573.7 meV per atom.

Unit cell a=3.183 b=3.183 c=9.633 alpha=90.00 beta=90.00 gamma=90.00
Each line ends with the local moment (μB).
Fractional coordinates of all 4 atoms:
Fe1 0.000 0.000 0.726  2.87
Fe2 0.000 0.000 0.274  2.87
K1 0.500 0.500 0.000  -0.03
Sr1 0.500 0.500 0.500  -0.12


Entry from Alexandria via LeMat-Bulk: a relaxed structure of Cs2HgBiF6 (PBEsol).

Summary:
The total energy comes out at -40.71 eV/cell. The density of states at the Fermi level comes out at 3.4 states/eV per cell.

Unit cell a=6.758 b=6.758 c=6.758 alpha=60.00 beta=60.00 gamma=60.00
Fractional coordinates of all 10 atoms:
Cs1 0.750 0.750 0.750
Cs2 0.250 0.250 0.250
Hg1 0.500 0.500 0.500
Bi1 0.000 0.000 0.000
F1 0.766 0.234 0.234
F2 0.766 0.766 0.234
F3 0.234 0.766 0.766
F4 0.766 0.234 0.766
F5 0.234 0.766 0.234
F6 0.234 0.234 0.766


Entry from Alexandria via LeMat-Bulk: a relaxed structure of CrFeRe (PBEsol).

Summary:
The density of states at the Fermi level comes out at 2.2 states/eV per cell. Its formation energy is 0.10 eV/atom.

Unit cell a=2.523 b=4.130 c=4.130 alpha=120.00 beta=90.00 gamma=90.00
Each line ends with the local moment (μB).
Fractional coordinates of all 3 atoms:
Re1 0.319 0.333 0.667  0.03
Fe1 0.681 0.667 0.333  2.29
Cr1 0.001 0.000 0.000  0.35


Entry from Alexandria via LeMat-Bulk: a relaxed structure of CdRuSN2 (PBEsol).

Summary:
The total energy comes out at -21.16 eV/cell. The density of states at the Fermi level comes out at 5.9 states/eV per cell.

Unit cell a=3.991 b=3.991 c=5.386 alpha=90.00 beta=90.00 gamma=90.00
Each line ends with the local moment (μB).
Fractional coordinates of all 5 atoms:
Ru1 0.500 0.500 0.500  2.75
S1 0.000 0.000 0.500  0.22
N1 0.000 0.500 0.000  0.97
N2 0.500 0.000 0.000  0.97
Cd1 0.000 0.000 0.000  0.07


Entry from Alexandria via LeMat-Bulk: a relaxed structure of Bi2AsOsPt (PBEsol).

Summary:
The density of states at the Fermi level comes out at 4.0 states/eV per cell. Its formation energy is 1.05 eV/atom.

Unit cell a=4.786 b=5.215 c=5.215 alpha=90.00 beta=90.00 gamma=90.00
Fractional coordinates of all 5 atoms:
As1 0.500 0.500 0.500
Os1 0.000 0.000 0.000
Bi1 0.000 0.000 0.500
Bi2 0.000 0.500 0.000
Pt1 0.500 0.000 0.000


Entry from Alexandria via LeMat-Bulk: a relaxed structure of Zr2TaAs (PBEsol).

Summary:
The density of states at the Fermi level comes out at 2.6 states/eV per cell. Its formation energy is -0.41 eV/atom.

Unit cell a=3.621 b=4.530 c=4.530 alpha=90.00 beta=90.00 gamma=90.00
Fractional coordinates of all 4 atoms:
As1 0.500 0.500 0.500
Zr1 0.000 0.000 0.500
Zr2 0.000 0.500 0.000
Ta1 0.500 0.000 0.000


Entry from Alexandria via LeMat-Bulk: a relaxed structure of Y2CF (PBEsol).

Summary:
The total energy comes out at -29.67 eV/cell. The density of states at the Fermi level comes out at 1.2 states/eV per cell.

Unit cell a=4.302 b=4.302 c=4.302 alpha=60.00 beta=60.00 gamma=60.00
Fractional coordinates of all 4 atoms:
Y1 0.250 0.250 0.250
Y2 0.750 0.750 0.750
C1 0.000 0.000 0.000
F1 0.500 0.500 0.500


Entry from Alexandria via LeMat-Bulk: a relaxed structure of La2HfAsPd (PBEsol).

Summary:
The density of states at the Fermi level comes out at 3.9 states/eV per cell. Its formation energy is 0.39 eV/atom.

Unit cell a=4.851 b=5.604 c=5.604 alpha=90.00 beta=90.00 gamma=90.00
Fractional coordinates of all 5 atoms:
As1 0.500 0.000 0.000
Hf1 0.000 0.000 0.000
Pd1 0.500 0.500 0.500
La1 0.000 0.000 0.500
La2 0.000 0.500 0.000


Entry from Alexandria via LeMat-Bulk: a relaxed structure of SrZrCr (PBEsol).

Summary:
The density of states at the Fermi level comes out at 3.5 states/eV per cell. Its formation energy is 1.19 eV/atom.

Unit cell a=4.843 b=4.843 c=4.843 alpha=60.00 beta=60.00 gamma=60.00
Each line ends with the local moment (μB).
Fractional coordinates of all 3 atoms:
Cr1 0.250 0.250 0.250  3.02
Sr1 0.000 0.000 0.000  -0.04
Zr1 0.500 0.500 0.500  -0.55


Entry from Alexandria via LeMat-Bulk: a relaxed structure of CaY3Co (PBEsol).

Summary:
The density of states at the Fermi level comes out at 6.1 states/eV per cell. Its formation energy is -0.04 eV/atom. The value obtained for the energy relative to the lowest polymorph listed for this composition is 0.0 meV per atom.

Unit cell a=5.259 b=5.259 c=5.259 alpha=90.00 beta=90.00 gamma=90.00
Fractional coordinates of all 5 atoms:
Y1 0.000 0.500 0.000
Y2 0.000 0.000 0.500
Y3 0.500 0.000 0.000
Ca1 0.500 0.500 0.500
Co1 0.000 0.000 0.000


Entry from Alexandria via LeMat-Bulk: a relaxed structure of BeBiMo3 (PBEsol).

Summary:
The density of states at the Fermi level comes out at 5.1 states/eV per cell. Its formation energy is 0.87 eV/atom. The value obtained for the energy relative to the lowest polymorph listed for this composition is 0.0 meV per atom.

Unit cell a=4.316 b=4.316 c=4.316 alpha=90.00 beta=90.00 gamma=90.00
Fractional coordinates of all 5 atoms:
Be1 0.000 0.000 0.000
Mo1 0.000 0.500 0.000
Mo2 0.000 0.000 0.500
Mo3 0.500 0.000 0.000
Bi1 0.500 0.500 0.500


Entry from Alexandria via LeMat-Bulk: a relaxed structure of TlPIr2 (PBEsol).

Summary:
The density of states at the Fermi level comes out at 2.6 states/eV per cell. Its formation energy is 0.10 eV/atom. The value obtained for the energy relative to the lowest polymorph listed for this composition is 29.2 meV per atom.

Unit cell a=2.996 b=2.996 c=8.331 alpha=79.64 beta=79.64 gamma=60.00
Fractional coordinates of all 4 atoms:
Ir1 0.234 0.234 0.299
Ir2 0.766 0.766 0.701
P1 0.500 0.500 0.500
Tl1 0.000 0.000 0.000


Entry from Alexandria via LeMat-Bulk: a relaxed structure of BeMoBr2 (PBEsol).

Summary:
The density of states at the Fermi level comes out at 2.3 states/eV per cell. The value obtained for the energy relative to the lowest polymorph listed for this composition is 0.0 meV per atom.

Unit cell a=3.183 b=3.254 c=8.904 alpha=90.00 beta=90.00 gamma=119.28
Each line ends with the local moment (μB).
Fractional coordinates of all 4 atoms:
Be1 0.500 0.000 0.747  -0.01
Mo1 0.000 0.000 0.529  0.69
Br1 0.000 0.000 0.912  0.00
Br2 0.500 0.000 0.312  0.02


Entry from Alexandria via LeMat-Bulk: a relaxed structure of ZrTa3Cr (PBEsol).

Summary:
The density of states at the Fermi level comes out at 8.0 states/eV per cell. Its formation energy is 2.19 eV/atom.

Unit cell a=4.814 b=4.814 c=4.814 alpha=90.00 beta=90.00 gamma=90.00
Each line ends with the local moment (μB).
Fractional coordinates of all 5 atoms:
Cr1 0.500 0.500 0.500  3.66
Zr1 0.000 0.000 0.000  -0.03
Ta1 0.000 0.500 0.000  -0.15
Ta2 0.000 0.000 0.500  -0.15
Ta3 0.500 0.000 0.000  -0.15


Entry from Alexandria via LeMat-Bulk: a relaxed structure of Co2BC (PBEsol).

Summary:
The density of states at the Fermi level comes out at 2.5 states/eV per cell. Its formation energy is 0.54 eV/atom.

Unit cell a=3.485 b=3.485 c=3.485 alpha=60.00 beta=60.00 gamma=60.00
Each line ends with the local moment (μB).
Fractional coordinates of all 4 atoms:
C1 0.500 0.500 0.500  0.03
B1 0.000 0.000 0.000  -0.01
Co1 0.250 0.250 0.250  0.50
Co2 0.750 0.750 0.750  0.50


Entry from Alexandria via LeMat-Bulk: a relaxed structure of Rb3LiH (PBEsol).

Summary:
The total energy comes out at -8.05 eV/cell. The density of states at the Fermi level comes out at 3.6 states/eV per cell.

Unit cell a=6.059 b=6.059 c=6.059 alpha=90.00 beta=90.00 gamma=90.00
Fractional coordinates of all 5 atoms:
H1 0.000 0.000 0.000
Rb1 0.000 0.500 0.000
Rb2 0.000 0.000 0.500
Rb3 0.500 0.000 0.000
Li1 0.500 0.500 0.500


Entry from Alexandria via LeMat-Bulk: a relaxed structure of Ta2AlAs (PBEsol).

Summary:
The density of states at the Fermi level comes out at 2.2 states/eV per cell. Its formation energy is -0.24 eV/atom. The value obtained for the energy relative to the lowest polymorph listed for this composition is 0.0 meV per atom.

Unit cell a=3.410 b=3.410 c=5.649 alpha=90.00 beta=90.00 gamma=90.00
Fractional coordinates of all 4 atoms:
As1 0.500 0.500 0.755
Al1 0.000 0.000 0.495
Ta1 0.000 0.000 0.994
Ta2 0.500 0.500 0.256


Entry from Alexandria via LeMat-Bulk: a relaxed structure of TlCr3Ga (PBEsol).

Summary:
The density of states at the Fermi level comes out at 6.1 states/eV per cell. Its formation energy is 1.21 eV/atom.

Unit cell a=4.583 b=4.583 c=4.583 alpha=90.00 beta=90.00 gamma=90.00
Each line ends with the local moment (μB).
Fractional coordinates of all 5 atoms:
Cr1 0.000 0.500 0.000  3.07
Cr2 0.000 0.000 0.500  3.07
Cr3 0.500 0.000 0.000  3.07
Tl1 0.500 0.500 0.500  -0.12
Ga1 0.000 0.000 0.000  -0.10


Entry from Alexandria via LeMat-Bulk: a relaxed structure of BaMoW2 (PBEsol).

Summary:
The density of states at the Fermi level comes out at 5.0 states/eV per cell. Its formation energy is 0.86 eV/atom. The value obtained for the energy relative to the lowest polymorph listed for this composition is 0.0 meV per atom.

Unit cell a=3.152 b=3.152 c=8.337 alpha=90.00 beta=90.00 gamma=90.00
Fractional coordinates of all 4 atoms:
Ba1 0.000 0.000 0.499
Mo1 0.500 0.500 0.824
W1 0.000 0.000 0.999
W2 0.500 0.500 0.177


Entry from Alexandria via LeMat-Bulk: a relaxed structure of Li2TaW (PBEsol).

Summary:
The density of states at the Fermi level comes out at 2.6 states/eV per cell. Its formation energy is 0.48 eV/atom. The value obtained for the energy relative to the lowest polymorph listed for this composition is 226.3 meV per atom.

Unit cell a=2.621 b=2.621 c=10.072 alpha=90.00 beta=90.00 gamma=111.91
Fractional coordinates of all 4 atoms:
Li1 0.000 0.000 0.242
Li2 0.000 0.000 0.758
Ta1 0.500 0.500 0.500
W1 0.500 0.500 0.000


Entry from Alexandria via LeMat-Bulk: a relaxed structure of CaSi3Cl (PBEsol).

Summary:
The total energy comes out at -14.00 eV/cell. The density of states at the Fermi level comes out at 7.0 states/eV per cell.

Unit cell a=5.402 b=5.402 c=5.402 alpha=90.00 beta=90.00 gamma=90.00
Each line ends with the local moment (μB).
Fractional coordinates of all 5 atoms:
Ca1 0.000 0.000 0.000  0.24
Si1 0.000 0.500 0.000  0.18
Si2 0.000 0.000 0.500  0.18
Si3 0.500 0.000 0.000  0.18
Cl1 0.500 0.500 0.500  0.19


Entry from Alexandria via LeMat-Bulk: a relaxed structure of ScNb2Ga2 (PBEsol).

Summary:
The density of states at the Fermi level comes out at 10.4 states/eV per cell. Its formation energy is -0.39 eV/atom.

Unit cell a=3.472 b=7.045 c=7.045 alpha=90.00 beta=90.00 gamma=90.00
Fractional coordinates of all 10 atoms:
Sc1 0.000 0.000 0.000
Sc2 0.000 0.500 0.500
Nb1 0.500 0.173 0.673
Nb2 0.500 0.673 0.827
Nb3 0.500 0.827 0.327
Nb4 0.500 0.327 0.173
Ga1 0.000 0.374 0.874
Ga2 0.000 0.874 0.626
Ga3 0.000 0.626 0.126
Ga4 0.000 0.126 0.374


Entry from Alexandria via LeMat-Bulk: a relaxed structure of NiWSe (PBEsol).

Summary:
The total energy comes out at -23.13 eV/cell. The density of states at the Fermi level comes out at 1.8 states/eV per cell.

Unit cell a=2.962 b=2.962 c=5.825 alpha=90.00 beta=90.00 gamma=120.00
Fractional coordinates of all 3 atoms:
Ni1 0.000 0.000 0.005
Se1 0.667 0.333 0.659
W1 0.333 0.667 0.336